a.
Material: U4Se5S2
Method: DFT, PBE-GGA
State: optimized geometry

Cell lengths 4.056, 6.886, 12.203 Å; angles 106.39, 99.57, 90.00 degrees
Last column: magnetic moment on the atom in μB.
Fractional positions:
Se  0.120  0.894  0.241  -0.02
Se  0.120  0.347  0.241  -0.02
Se  0.500  0.000  0.000  0.01
Se  0.880  0.653  0.759  -0.02
Se  0.880  0.106  0.759  -0.02
U  0.000  0.675  0.000  -0.24
U  0.622  0.622  0.243  0.45
U  0.000  0.325  0.000  -0.24
U  0.378  0.378  0.757  0.45
S  0.721  0.721  0.443  -0.04
S  0.279  0.279  0.557  -0.04

## Properties
Density = 7.27 Mg/m³
Space group = Immm, No. 71

b.
Material: U4Se5S2
Method: DFT, PBE-GGA
State: optimized geometry

Cell lengths 3.910, 7.227, 11.679 Å; angles 87.32, 99.64, 90.00 degrees
Last column: magnetic moment on the atom in μB.
Fractional positions:
U  0.327  0.431  0.654  2.11
U  0.016  0.710  0.033  2.62
U  0.984  0.290  0.967  2.62
U  0.673  0.569  0.346  2.11
Se  0.789  0.690  0.577  -0.08
Se  0.211  0.310  0.423  -0.08
Se  0.866  0.177  0.733  -0.08
Se  0.500  0.000  0.000  -0.08
Se  0.134  0.823  0.267  -0.08
S  0.436  0.550  0.873  -0.08
S  0.564  0.450  0.127  -0.08

## Properties
Density = 7.21 Mg/m³
Space group = C2/m, No. 12

Relative to the most stable structure, the computed energies are a 555; b 0, all in meV/atom.

a.
Material: V2SeS
Method: DFT, PBE-GGA
State: optimized geometry

Cell lengths 3.167, 3.228, 6.489 Å; angles 90.00, 60.79, 90.00 degrees
Fractional positions:
Se  0.932  0.796  0.655
S  0.435  0.296  0.152
V  0.626  0.296  0.461
V  0.075  0.796  0.012

## Properties
Density = 6.11 Mg/m³
Space group = Pmm2, No. 25

b.
Material: V2SeS
Method: DFT, PBE-GGA
State: optimized geometry

Cell lengths 3.292, 3.292, 6.581 Å; angles 75.52, 75.52, 60.00 degrees
Fractional positions:
V  0.253  0.253  0.242
V  0.079  0.079  0.762
S  0.668  0.668  0.997
Se  0.501  0.501  0.498

## Properties
Density = 5.98 Mg/m³
Space group = R3m, No. 160

c.
Material: V2SeS
Method: DFT, PBE-GGA
State: optimized geometry

Cell lengths 3.596, 3.596, 6.049 Å; angles 72.71, 72.71, 60.00 degrees
Last column: magnetic moment on the atom in μB.
Fractional positions:
V  0.728  0.728  0.816  1.39
V  0.272  0.272  0.184  1.39
S  0.000  0.000  0.000  -0.07
Se  0.500  0.500  0.500  -0.04

## Properties
Density = 5.56 Mg/m³
Space group = R-3m, No. 166

d.
Material: V2SeS
Method: DFT, PBE-GGA
State: optimized geometry

Cell lengths 4.291, 4.291, 4.291 Å; angles 60.00, 60.00, 60.00 degrees
Last column: magnetic moment on the atom in μB.
Fractional positions:
V  0.250  0.250  0.250  0.98
V  0.750  0.750  0.750  0.98
S  0.000  0.000  0.000  -0.08
Se  0.500  0.500  0.500  -0.06

## Properties
Density = 6.33 Mg/m³
Space group = Fm-3m, No. 225

Relative to the most stable structure, the computed energies are a 0; b 203; c 162; d 330, all in meV/atom.

a.
Material: V3Se2S2
Method: DFT, PBE-GGA
State: optimized geometry

Cell lengths 3.382, 6.177, 6.046 Å; angles 100.40, 89.99, 105.87 degrees
Last column: magnetic moment on the atom in μB.
Fractional positions:
Se  0.859  0.719  0.630  -0.03
Se  0.141  0.281  0.370  -0.03
S  0.387  0.773  0.148  -0.02
S  0.613  0.227  0.852  -0.02
V  0.247  0.493  0.815  0.00
V  0.000  0.000  0.000  1.84
V  0.753  0.507  0.185  0.00

## Properties
Density = 5.22 Mg/m³
Space group = C2/m, No. 12

b.
Material: V3Se2S2
Method: DFT, PBE-GGA
State: optimized geometry

Cell lengths 3.349, 6.054, 6.801 Å; angles 116.62, 104.25, 90.00 degrees
Last column: magnetic moment on the atom in μB.
Fractional positions:
Se  0.639  0.309  0.279  -0.04
Se  0.361  0.691  0.721  -0.04
V  0.742  0.814  0.483  0.05
V  0.000  0.000  0.000  1.70
V  0.258  0.186  0.517  0.05
S  0.887  0.217  0.774  -0.02
S  0.113  0.783  0.226  -0.02

## Properties
Density = 5.25 Mg/m³
Space group = C2/m, No. 12

Relative to the most stable structure, the computed energies are a 148; b 0, all in meV/atom.

a.
Material: WSe2S2
Method: DFT, PBE-GGA
State: optimized geometry

Cell lengths 6.844, 6.844, 4.544 Å; angles 90.00, 90.00, 90.00 degrees
Last column: magnetic moment on the atom in μB.
Fractional positions:
Se  0.663  0.163  0.000  -0.03
Se  0.337  0.837  0.000  -0.03
Se  0.163  0.337  0.000  -0.04
Se  0.837  0.663  0.000  -0.04
S  0.748  0.752  0.500  -0.07
S  0.248  0.748  0.500  -0.05
S  0.252  0.248  0.500  -0.07
S  0.752  0.252  0.500  -0.05
W  0.500  0.500  0.000  1.59
W  0.000  0.000  0.000  1.61

## Properties
Density = 6.33 Mg/m³
Space group = P4/mbm, No. 127

b.
Material: WSe2S2
Method: DFT, PBE-GGA
State: optimized geometry

Cell lengths 5.781, 6.582, 7.826 Å; angles 82.42, 72.53, 63.95 degrees
Fractional positions:
Se  0.448  0.543  0.210
Se  0.991  0.457  0.210
Se  0.552  0.457  0.790
Se  0.009  0.543  0.790
W  0.121  0.758  0.000
W  0.879  0.242  0.000
S  0.131  0.000  0.731
S  0.869  0.000  0.269
S  0.358  0.000  0.886
S  0.642  0.000  0.114

## Properties
Density = 5.28 Mg/m³
Space group = C2/m, No. 12

c.
Material: WSe2S2
Method: DFT, PBE-GGA
State: optimized geometry

Cell lengths 3.192, 3.192, 11.412 Å; angles 81.96, 81.96, 90.00 degrees
Fractional positions:
Se  0.431  0.431  0.137
Se  0.569  0.569  0.863
W  0.000  0.000  0.000
S  0.750  0.250  0.500
S  0.250  0.750  0.500

## Properties
Density = 5.91 Mg/m³
Space group = I4/mmm, No. 139

Relative to the most stable structure, the computed energies are a 1004; b 0; c 386, all in meV/atom.

a.
Material: YSe2S2
Method: DFT, PBE-GGA
State: optimized geometry

Cell lengths 3.742, 3.742, 8.804 Å; angles 77.73, 77.73, 90.00 degrees
Fractional positions:
S  0.567  0.567  0.866
S  0.433  0.433  0.134
Y  0.000  0.000  0.000
Se  0.750  0.250  0.500
Se  0.250  0.750  0.500

## Properties
Density = 4.39 Mg/m³
Space group = I4/mmm, No. 139

b.
Material: YSe2S2
Method: DFT, PBE-GGA
State: optimized geometry

Cell lengths 7.537, 7.537, 4.400 Å; angles 90.00, 90.00, 90.00 degrees
Fractional positions:
Se  0.160  0.340  0.000
Se  0.840  0.660  0.000
Se  0.660  0.160  0.000
Se  0.340  0.840  0.000
Y  0.500  0.500  0.000
Y  0.000  0.000  0.000
S  0.245  0.745  0.500
S  0.745  0.755  0.500
S  0.755  0.255  0.500
S  0.255  0.245  0.500

## Properties
Density = 4.13 Mg/m³
Space group = P4/mbm, No. 127

Relative to the most stable structure, the computed energies are a 0; b 111, all in meV/atom.

a.
Material: YSeS
Method: DFT, PBE-GGA
State: optimized geometry

Cell lengths 3.967, 3.967, 8.700 Å; angles 103.18, 103.18, 90.00 degrees
Fractional positions:
S  0.185  0.185  0.370
S  0.815  0.815  0.630
Y  0.646  0.646  0.292
Y  0.354  0.354  0.708
Se  0.000  0.500  0.000
Se  0.500  0.000  0.000

## Properties
Density = 5.12 Mg/m³
Space group = I4/mmm, No. 139

b.
Material: YSeS
Method: DFT, PBE-GGA
State: optimized geometry

Cell lengths 4.049, 5.442, 7.414 Å; angles 111.53, 105.85, 90.00 degrees
Fractional positions:
Se  0.500  0.278  0.000
Se  0.500  0.722  0.000
Y  0.845  0.345  0.690
Y  0.155  0.655  0.310
S  0.788  0.788  0.577
S  0.212  0.212  0.423

## Properties
Density = 4.57 Mg/m³
Space group = Immm, No. 71

Relative to the most stable structure, the computed energies are a 52; b 0, all in meV/atom.

a.
Material: YSeS
Method: DFT, PBE-GGA
State: optimized geometry

Cell lengths 3.698, 3.698, 5.434 Å; angles 109.89, 109.89, 90.00 degrees
Fractional positions:
S  0.030  0.030  0.060
Se  0.315  0.315  0.629
Y  0.655  0.655  0.311

## Properties
Density = 5.10 Mg/m³
Space group = I4mm, No. 107

b.
Material: YSeS
Method: DFT, PBE-GGA
State: optimized geometry

Cell lengths 4.610, 6.380, 7.945 Å; angles 111.60, 90.00, 111.18 degrees
Fractional positions:
Y  0.804  0.608  0.213
Y  0.196  0.392  0.787
S  0.187  0.373  0.118
S  0.813  0.627  0.882
Se  0.059  0.117  0.399
Se  0.941  0.883  0.601

## Properties
Density = 3.32 Mg/m³
Space group = C2/m, No. 12

Relative to the most stable structure, the computed energies are a 123; b 0, all in meV/atom.

a.
Material: YSe3S
Method: DFT, PBE-GGA
State: optimized geometry

Cell lengths 5.553, 5.553, 5.553 Å; angles 90.00, 90.00, 90.00 degrees
Last column: magnetic moment on the atom in μB.
Fractional positions:
Se  0.000  0.500  0.000  0.66
Se  0.000  0.000  0.500  0.70
Se  0.500  0.000  0.000  0.53
Y  0.000  0.000  0.000  -0.03
S  0.500  0.500  0.500  1.19

## Properties
Density = 3.47 Mg/m³
Space group = Pm-3m, No. 221

b.
Material: YSe3S
Method: DFT, PBE-GGA
State: optimized geometry

Cell lengths 4.865, 4.865, 4.865 Å; angles 90.00, 90.00, 90.00 degrees
Fractional positions:
S  0.000  0.000  0.000
Se  0.000  0.500  0.000
Se  0.500  0.000  0.000
Se  0.000  0.000  0.500
Y  0.500  0.500  0.500

## Properties
Density = 5.16 Mg/m³
Space group = Pm-3m, No. 221

Relative to the most stable structure, the computed energies are a 520; b 0, all in meV/atom.

a.
Material: ZnSeS2
Method: DFT, PBE-GGA
State: optimized geometry

Cell lengths 4.599, 4.599, 4.599 Å; angles 60.00, 60.00, 60.00 degrees
Fractional positions:
Zn  0.000  0.000  0.000
S  0.750  0.750  0.750
S  0.250  0.250  0.250
Se  0.500  0.500  0.500

## Properties
Density = 5.03 Mg/m³
Space group = Fm-3m, No. 225

b.
Material: ZnSeS2
Method: DFT, PBE-GGA
State: optimized geometry

Cell lengths 7.709, 7.709, 7.709 Å; angles 27.18, 27.18, 27.18 degrees
Fractional positions:
S  0.894  0.894  0.894
S  0.106  0.106  0.106
Zn  0.500  0.500  0.500
Se  0.000  0.000  0.000

## Properties
Density = 4.11 Mg/m³
Space group = R-3m, No. 166

c.
Material: ZnSeS2
Method: DFT, PBE-GGA
State: optimized geometry

Cell lengths 5.123, 5.123, 7.790 Å; angles 70.80, 70.80, 90.00 degrees
Fractional positions:
Se  0.750  0.250  0.500
Se  0.000  0.000  0.000
Zn  0.250  0.750  0.500
Zn  0.500  0.500  0.000
S  0.375  0.386  0.750
S  0.875  0.864  0.750
S  0.614  0.125  0.250
S  0.136  0.625  0.250

## Properties
Density = 3.83 Mg/m³
Space group = I-42d, No. 122

Relative to the most stable structure, the computed energies are a 586; b 0; c 153, all in meV/atom.

a.
Material: Zn2SeS
Method: DFT, PBE-GGA
State: optimized geometry

Cell lengths 4.632, 4.632, 4.632 Å; angles 60.00, 60.00, 60.00 degrees
Fractional positions:
Se  0.500  0.500  0.500
Zn  0.750  0.750  0.750
Zn  0.250  0.250  0.250
S  0.000  0.000  0.000

## Properties
Density = 5.72 Mg/m³
Space group = Fm-3m, No. 225

b.
Material: Zn2SeS
Method: DFT, PBE-GGA
State: optimized geometry

Cell lengths 3.953, 3.953, 5.588 Å; angles 90.00, 90.00, 90.00 degrees
Fractional positions:
Zn  0.000  0.500  0.237
Zn  0.500  0.000  0.763
S  0.500  0.500  0.000
Se  0.000  0.000  0.500

## Properties
Density = 4.60 Mg/m³
Space group = P-4m2, No. 115

c.
Material: Zn2SeS
Method: DFT, PBE-GGA
State: optimized geometry

Cell lengths 4.110, 6.029, 4.110 Å; angles 90.00, 120.03, 90.00 degrees
Fractional positions:
Zn  0.208  0.000  0.792
Zn  0.542  0.500  0.458
S  0.209  0.500  0.792
Se  0.541  0.000  0.458

## Properties
Density = 4.55 Mg/m³
Space group = Amm2, No. 38

Relative to the most stable structure, the computed energies are a 906; b 0; c 189, all in meV/atom.

a.
Material: Zr2SeS
Method: DFT, PBE-GGA
State: optimized geometry

Cell lengths 5.757, 5.757, 7.413 Å; angles 67.15, 67.15, 90.00 degrees
Fractional positions:
S  0.500  0.500  0.000
S  0.250  0.750  0.500
Zr  0.598  0.125  0.250
Zr  0.152  0.625  0.250
Zr  0.375  0.402  0.750
Zr  0.875  0.848  0.750
Se  0.000  0.000  0.000
Se  0.750  0.250  0.500

## Properties
Density = 4.75 Mg/m³
Space group = I-42d, No. 122

b.
Material: Zr2SeS
Method: DFT, PBE-GGA
State: optimized geometry

Cell lengths 3.785, 3.785, 6.722 Å; angles 73.65, 73.65, 60.00 degrees
Fractional positions:
Se  0.500  0.500  0.500
Zr  0.266  0.266  0.201
Zr  0.734  0.734  0.799
S  0.000  0.000  0.000

## Properties
Density = 6.18 Mg/m³
Space group = R-3m, No. 166

Relative to the most stable structure, the computed energies are a 488; b 0, all in meV/atom.